Compound: VPCl2F
Source: Alexandria via LeMat-Bulk
Functional: PBE with a Hubbard U
Structure: relaxed

Lattice parameters (Å, degrees): 4.6219 4.6219 4.9406 90.00 90.00 90.00
Closest atoms and distances in Å follow each position.
Element x y z (fractional)
V1 0.0000 0.0000 0.0000  4 Cl 2.31, 2 P 2.47
P1 0.0000 0.0000 0.5000  2 V 2.47
Cl1 0.0000 0.5000 0.0000  2 V 2.31
Cl2 0.5000 0.0000 0.0000  2 V 2.31
F1 0.5000 0.5000 0.5000  4 P 3.27, 8 Cl 3.38

Symmetry: P4/mmm, No. 123
Total magnetization (μB per formula unit): 0.98
Excess energy over the best structure of this formula in the dataset (meV/atom): 0
Calculated total energy (eV/atom): -3.80